Here is crystalline TlCu2Ir at its relaxed geometry from Alexandria. Energies are from GGA-PBEsol.

```
data_TlCu2Ir
_cell_length_a 2.8642
_cell_length_b 2.8642
_cell_length_c 25.8694
_cell_angle_alpha 90.00
_cell_angle_beta 90.00
_cell_angle_gamma 120.00
_space_group_name_H-M_alt 'R -3 m'
_space_group_IT_number 166
_space_group_name_Hall '-R 3 2"'
loop_
_atom_site_label
_atom_site_fract_x
_atom_site_fract_y
_atom_site_fract_z
Tl1 0.0000 0.0000 0.0000
Cu1 0.0000 0.0000 0.2435
Ir1 0.0000 0.0000 0.5000
```

Output
V: 184 Å³/cell
Energy of formation: 43.95 kJ/mol of atoms
Energy: -4.825 eV per atom